Below is an optimized crystal structure of HfTiRh, with properties calculated at the PBE level.

The calculation puts the mass density at 9.4 g/cm³. For the total energy, the calculation gives -8.653 eV/atom. The value obtained for the formation energy is -252.8 meV per atom. The crystal system is trigonal. For the energy above the lowest structure with this stoichiometry, the calculation gives 0.350 eV/atom.

The space group is R-3m (No. 166, hexagonal axes) and the conventional cell measures 4.5676, 4.5676 and 19.2529 Å, with angles of 90.00, 90.00 and 120.00 degrees. The inequivalent atoms are Hf at (0.0000, 0.0000, 0.0817), Ti at (0.0000, 0.0000, 0.3455) and Rh at (0.0000, 0.0000, 0.2197).

***

Below is an optimized crystal structure of BSbP2O, with properties calculated at the PBE level.

The calculation puts the mass density at 4.6 g/cm³. For the total energy, the calculation gives -5.112 eV/atom. As for the formation energy from raw total energies: 0.20 eV per atom. The crystal system is tetragonal. For the energy above the lowest structure with this stoichiometry, the calculation gives 0.000 eV/atom.

The space group is P4/mmm (No. 123) and the conventional cell measures 5.245, 5.245 and 2.770 Å, with angles of 90.00, 90.00 and 90.00 degrees. The inequivalent atoms are B at (0.000, 0.000, 0.000), Sb at (0.500, 0.500, 0.500), P at (0.000, 0.500, 0.000) and O at (0.000, 0.000, 0.500).

***

Below is an optimized crystal structure of TaVGaI2, with properties calculated at the PBE level.

The calculation puts the mass density at 6.6 g/cm³. For the total energy, the calculation gives -4.139 eV/atom. As for the formation energy from raw total energies: 1.28 eV per atom. The crystal system is tetragonal.

The space group is P4/mmm (No. 123) and the conventional cell measures 5.312, 5.312 and 4.950 Å, with angles of 90.00, 90.00 and 90.00 degrees. The inequivalent atoms are Ta at (0.000, 0.000, 0.000), V at (0.500, 0.500, 0.500), Ga at (0.500, 0.500, 0.000) and I at (0.000, 0.500, 0.500).

***

Below is an optimized crystal structure of Tb4Pm3Pb4, with properties calculated at the PBE level.

The calculation puts the mass density at 9.1 g/cm³. For the total energy, the calculation gives -4.592 eV/atom. The value obtained for the formation energy is -264.5 meV per atom. The crystal system is orthorhombic.

The space group is Immm (No. 71) and the conventional cell measures 3.791, 5.235 and 34.780 Å, with angles of 90.00, 90.00 and 90.00 degrees. The inequivalent atoms are Tb at (0.000, 0.000, 0.094), Tb at (0.000, 0.500, 0.237), Pm at (0.000, 0.000, 0.353), Pm at (0.000, 0.500, 0.500), Pb at (0.000, 0.000, 0.184) and Pb at (0.000, 0.500, 0.048).

***

Below is an optimized crystal structure of NaHf3Cl, with properties calculated at the PBE level.

The calculation puts the mass density at 7.5 g/cm³. For the total energy, the calculation gives -4.877 eV/atom. As for the formation energy from raw total energies: 1.73 eV per atom. The crystal system is cubic. For the energy above the lowest structure with this stoichiometry, the calculation gives 1.324 eV/atom.

The space group is Pm-3m (No. 221) and the conventional cell measures 5.081, 5.081 and 5.081 Å, with angles of 90.00, 90.00 and 90.00 degrees. The inequivalent atoms are Na at (0.000, 0.000, 0.000), Hf at (0.000, 0.000, 0.500) and Cl at (0.500, 0.500, 0.500).

***

Below is an optimized crystal structure of Mg2AlCl, with properties calculated at the PBE level.

The calculation puts the mass density at 2.2 g/cm³. For the total energy, the calculation gives -2.490 eV/atom. As for the formation energy from raw total energies: -0.29 eV per atom. The crystal system is orthorhombic. For the energy above the lowest structure with this stoichiometry, the calculation gives 0.203 eV/atom.

The space group is Cmmm (No. 65) and the conventional cell measures 7.381, 7.398 and 3.095 Å, with angles of 90.00, 90.00 and 90.00 degrees. The inequivalent atoms are Mg at (0.250, 0.250, 0.000), Al at (0.000, 0.000, 0.500) and Cl at (0.000, 0.500, 0.500).

***

Below is an optimized crystal structure of SrIrCl, with properties calculated at the PBE level.

The calculation puts the mass density at 5.9 g/cm³. For the total energy, the calculation gives -5.381 eV/atom. As for the formation energy from raw total energies: -1.25 eV per atom. The crystal system is monoclinic. For the energy above the lowest structure with this stoichiometry, the calculation gives 0.004 eV/atom.

The space group is Cm (No. 8) and the conventional cell measures 7.226, 4.337 and 11.538 Å, with angles of 90.00, 102.63 and 90.00 degrees. The inequivalent atoms are Sr at (0.000, 0.000, 0.000), Sr at (0.146, 0.000, 0.419), Ir at (0.250, 0.500, 0.210), Ir at (0.400, 0.000, 0.210), Cl at (0.112, 0.500, 0.864) and Cl at (0.354, 0.500, 0.556).

***

Below is an optimized crystal structure of CrCuMo2, with properties calculated at the PBE level.

The calculation puts the mass density at 9.1 g/cm³. For the total energy, the calculation gives -8.527 eV/atom. The value obtained for the formation energy is 318.0 meV per atom. The crystal system is monoclinic. For the energy above the lowest structure with this stoichiometry, the calculation gives 0.146 eV/atom.

The space group is Cm (No. 8) and the conventional cell measures 8.974, 2.575 and 4.896 Å, with angles of 90.00, 95.88 and 90.00 degrees. The inequivalent atoms are Cr at (0.000, 0.000, 0.000), Cu at (0.261, 0.000, 0.758), Mo at (0.015, 0.500, 0.521) and Mo at (0.256, 0.500, 0.246).

***

Below is an optimized crystal structure of Sm2Y6Er3Sc, with properties calculated at the PBE level.

The calculation puts the mass density at 6.1 g/cm³. For the total energy, the calculation gives -5.655 eV/atom. The value obtained for the formation energy is 31.7 meV per atom. The crystal system is monoclinic.

The space group is C2/m (No. 12) and the conventional cell measures 6.128, 10.608 and 11.744 Å, with angles of 90.00, 99.98 and 90.00 degrees. The inequivalent atoms are Sm at (0.000, 0.166, 0.000), Y at (0.247, 0.500, 0.749), Y at (0.248, 0.335, 0.250), Er at (0.000, 0.000, 0.500), Er at (0.000, 0.334, 0.500) and Sc at (0.000, 0.500, 0.000).

***

Below is an optimized crystal structure of MnNbGaCu2, with properties calculated at the PBE level.

The calculation puts the mass density at 5.3 g/cm³. For the total energy, the calculation gives -4.781 eV/atom. The value obtained for the formation energy is 1311.1 meV per atom. The crystal system is tetragonal.

The space group is P4/mmm (No. 123) and the conventional cell measures 4.887, 4.887 and 4.506 Å, with angles of 90.00, 90.00 and 90.00 degrees. The inequivalent atoms are Mn at (0.000, 0.000, 0.000), Nb at (0.000, 0.000, 0.500), Ga at (0.500, 0.500, 0.000) and Cu at (0.000, 0.500, 0.500).

***

Below is an optimized crystal structure of SmTlAs2O6, with properties calculated at the PBE level.

The calculation puts the mass density at 5.9 g/cm³. For the total energy, the calculation gives -6.266 eV/atom. As for the formation energy from raw total energies: -1.65 eV per atom. The crystal system is monoclinic.

The space group is C2/c (No. 15) and the conventional cell measures 10.408, 10.024 and 6.917 Å, with angles of 90.00, 110.82 and 90.00 degrees. The inequivalent atoms are Sm at (0.000, 0.103, 0.250), Tl at (0.000, 0.300, 0.750), As at (0.198, 0.429, 0.280), O at (0.118, 0.067, 0.616), O at (0.152, 0.261, 0.230) and O at (0.158, 0.488, 0.521).

***

Below is an optimized crystal structure of AlCd2Te, with properties calculated at the PBE level.

The calculation puts the mass density at 6.2 g/cm³. For the total energy, the calculation gives -1.947 eV/atom. As for the formation energy from raw total energies: 0.23 eV per atom. The crystal system is cubic. For the energy above the lowest structure with this stoichiometry, the calculation gives 0.256 eV/atom.

The space group is Fm-3m (No. 225) and the conventional cell measures 7.412, 7.412 and 7.412 Å, with angles of 90.00, 90.00 and 90.00 degrees. The inequivalent atoms are Al at (0.000, 0.000, 0.000), Cd at (0.250, 0.250, 0.250) and Te at (0.000, 0.000, 0.500).

***

Question: Number 12 is which compound?
Answer: AlCd2Te

***

Question: mass density of number 11 (SmTlAs2O6)?
Answer: 5.9 g/cm³